VASP calculation (PBEsol) on an optimized crystal structure of PbAu2S2.

crystal system = tetragonal
ΔE_f (raw) = 0.107 eV per atom
total energy = -40.16 eV per cell

Structure (CIF):
```
data_PbAu2S2
_cell_length_a 4.854
_cell_length_b 4.854
_cell_length_c 8.794
_cell_angle_alpha 90.00
_cell_angle_beta 90.00
_cell_angle_gamma 90.00
_symmetry_space_group_name_H-M 'I 4/m m m'
_symmetry_Int_Tables_number 139
_symmetry_space_group_name_Hall '-I 4 2'
loop_
_atom_site_label
_atom_site_type_symbol
_atom_site_fract_x
_atom_site_fract_y
_atom_site_fract_z
Pb1 Pb 0.000 0.000 0.000
Au1 Au 0.000 0.000 0.342
S1 S 0.000 0.500 0.250
```